1.
Material: HoErTl2Pt4
Method: DFT, PBE
State: optimized geometry

Cell and atoms, written as extended XYZ:
```
8
Lattice="4.632 0.000 0.000 -2.316 4.011 0.000 0.000 0.000 8.917" Properties=species:S:1:pos:R:3 pbc="T T T"
Ho 0.000 0.000 0.000
Er 2.316 1.337 4.458
Tl 0.000 2.674 2.232
Tl 0.000 2.674 6.685
Pt 0.000 0.000 3.076
Pt 0.000 0.000 5.841
Pt 2.316 1.337 1.391
Pt 2.316 1.337 7.525
```

Computed properties:
The value obtained for the total magnetic moment is 0.01 μB/cell. As for the calculated volume: 166 Å³/cell. As for the calculated total energy: -5.511 eV/atom.



2.
Material: HoErPu
Method: DFT, PBE
State: optimized geometry

Cell and atoms, written as extended XYZ:
```
3
Lattice="0.000 3.743 3.743 3.743 0.000 3.743 3.743 3.743 0.000" Properties=species:S:1:pos:R:3 pbc="T T T"
Ho 0.000 0.000 0.000
Er 1.872 1.872 1.872
Pu 3.743 3.743 3.743
```

Computed properties:
The value obtained for the total magnetic moment is 6.66 μB/cell. The value obtained for the energy relative to the elements is 78.7 kJ per mole of atoms. As for the calculated volume: 105 Å³/cell. The value obtained for the distance to the lowest polymorph of the same formula is 0.0 meV per atom. As for the calculated total energy: -6.940 eV/atom.



3.
Material: Ho3Er3ReTe2
Method: DFT, PBE
State: optimized geometry

Cell and atoms, written as extended XYZ:
```
9
Lattice="8.212 0.000 0.000 -4.106 7.112 0.000 0.000 0.000 4.127" Properties=species:S:1:pos:R:3 pbc="T T T"
Ho -2.520 4.366 0.000
Ho 1.585 2.746 0.000
Ho 5.041 0.000 0.000
Er -0.976 1.691 2.064
Er 1.952 0.000 2.064
Er 3.130 5.421 2.064
Re 0.000 0.000 0.000
Te 0.000 4.741 2.064
Te 4.106 2.371 2.064
```

Computed properties:
The value obtained for the total magnetic moment is 0.07 μB/cell. As for the calculated volume: 241 Å³/cell. The value obtained for the distance to the lowest polymorph of the same formula is 0.0 meV per atom. As for the calculated total energy: -5.756 eV/atom.



4.
Material: Ho3Er3ReTe2
Method: DFT, PBE
State: optimized geometry

Cell and atoms, written as extended XYZ:
```
9
Lattice="8.219 0.000 0.000 -4.109 7.118 0.000 0.000 0.000 4.129" Properties=species:S:1:pos:R:3 pbc="T T T"
Ho -0.979 1.695 0.000
Ho 1.957 0.000 0.000
Ho 3.131 5.423 0.000
Er -2.523 4.370 2.064
Er 1.587 2.748 2.064
Er 5.046 0.000 2.064
Re 0.000 0.000 2.064
Te 0.000 4.745 0.000
Te 4.109 2.373 0.000
```

Computed properties:
The value obtained for the total magnetic moment is 0.05 μB/cell. As for the calculated volume: 242 Å³/cell. The value obtained for the distance to the lowest polymorph of the same formula is 19.1 meV per atom. As for the calculated total energy: -5.737 eV/atom.



5.
Material: HoEr2S3
Method: DFT, PBE
State: optimized geometry

Cell and atoms, written as extended XYZ:
```
6
Lattice="3.863 0.000 0.000 -1.932 3.346 0.000 0.000 0.000 9.472" Properties=species:S:1:pos:R:3 pbc="T T T"
Ho 0.000 0.000 0.000
Er 0.000 2.230 6.314
Er 1.932 1.115 3.158
S 0.000 0.000 4.736
S 0.000 2.230 1.594
S 1.932 1.115 7.878
```

Computed properties:
The value obtained for the total magnetic moment is 0.01 μB/cell. As for the calculated volume: 122 Å³/cell. As for the calculated total energy: -6.308 eV/atom.



6.
Material: HoErS2
Method: DFT, PBE
State: optimized geometry

Cell and atoms, written as extended XYZ:
```
4
Lattice="3.868 0.000 0.000 0.000 3.868 0.000 0.000 0.000 5.473" Properties=species:S:1:pos:R:3 pbc="T T T"
Ho 0.000 0.000 0.000
Er 1.934 1.934 2.737
S 0.000 0.000 2.737
S 1.934 1.934 0.000
```

Computed properties:
The value obtained for the total magnetic moment is 0.00 μB/cell. As for the calculated volume: 82 Å³/cell. As for the calculated total energy: -6.312 eV/atom.



7.
Material: Ho2Er2S5
Method: DFT, PBE
State: optimized geometry

Cell and atoms, written as extended XYZ:
```
9
Lattice="2.202 1.272 14.412 -2.202 1.272 14.412 0.000 -2.543 14.412" Properties=species:S:1:pos:R:3 pbc="T T T"
Ho 0.000 0.000 0.000
Ho 0.000 0.000 7.280
Er 0.000 0.000 18.374
Er 0.000 0.000 25.154
S 0.000 0.000 4.406
S 0.000 0.000 9.956
S 0.000 0.000 15.772
S 0.000 0.000 21.225
S 0.000 0.000 27.729
```

Computed properties:
The value obtained for the total magnetic moment is 0.00 μB/cell. As for the calculated volume: 242 Å³/cell. As for the calculated total energy: -6.075 eV/atom.



8.
Material: Ho2ErS3
Method: DFT, PBE
State: optimized geometry

Cell and atoms, written as extended XYZ:
```
6
Lattice="3.870 0.000 0.000 -1.935 3.352 0.000 0.000 0.000 9.486" Properties=species:S:1:pos:R:3 pbc="T T T"
Ho 0.000 2.235 1.582
Ho 1.935 1.117 7.904
Er 0.000 0.000 4.743
S 0.000 0.000 0.000
S 0.000 2.235 6.309
S 1.935 1.117 3.177
```

Computed properties:
The value obtained for the total magnetic moment is 0.01 μB/cell. As for the calculated volume: 123 Å³/cell. As for the calculated total energy: -6.318 eV/atom.



9.
Material: HoErSc2Sb2
Method: DFT, PBE
State: optimized geometry

Cell and atoms, written as extended XYZ:
```
6
Lattice="-2.163 2.163 8.105 2.163 -2.163 8.105 2.163 2.163 -8.105" Properties=species:S:1:pos:R:3 pbc="T T T"
Ho 0.000 0.000 0.000
Er 0.000 0.000 10.501
Sc 2.163 0.000 5.247
Sc 0.000 2.163 5.247
Sb 0.000 0.000 3.108
Sb 0.000 0.000 7.390
```

Computed properties:
The value obtained for the total magnetic moment is 0.99 μB/cell. As for the calculated volume: 152 Å³/cell. As for the calculated total energy: -5.820 eV/atom.



10.
Material: Ho2ErSe3
Method: DFT, PBE
State: optimized geometry

Cell and atoms, written as extended XYZ:
```
6
Lattice="-2.027 2.853 6.040 2.027 -2.853 6.040 2.027 2.853 -6.040" Properties=species:S:1:pos:R:3 pbc="T T T"
Ho 0.000 0.000 2.026
Ho 0.000 0.000 10.054
Er 0.000 0.000 6.040
Se 2.027 0.000 0.000
Se 2.027 0.000 4.042
Se 0.000 2.853 1.998
```

Computed properties:
The value obtained for the total magnetic moment is 0.01 μB/cell. As for the calculated volume: 140 Å³/cell. As for the calculated total energy: -5.739 eV/atom.



11.
Material: Ho2ErSe3
Method: DFT, PBE
State: optimized geometry

Cell and atoms, written as extended XYZ:
```
6
Lattice="4.032 0.000 0.000 -2.016 3.492 0.000 0.000 0.000 9.918" Properties=species:S:1:pos:R:3 pbc="T T T"
Ho 0.000 2.328 1.654
Ho 2.016 1.164 8.264
Er 0.000 0.000 4.959
Se 0.000 0.000 0.000
Se 0.000 2.328 6.597
Se 2.016 1.164 3.321
```

Computed properties:
The value obtained for the total magnetic moment is 0.00 μB/cell. As for the calculated volume: 140 Å³/cell. As for the calculated total energy: -5.739 eV/atom.



12.
Material: Ho6ErSe8
Method: DFT, PBE
State: optimized geometry

Cell and atoms, written as extended XYZ:
```
15
Lattice="0.000 5.700 5.700 5.700 0.000 5.700 5.700 5.700 0.000" Properties=species:S:1:pos:R:3 pbc="T T T"
Ho 2.850 2.850 0.000
Ho 2.850 0.000 2.850
Ho 5.700 2.850 2.850
Ho 0.000 2.850 2.850
Ho 2.850 5.700 2.850
Ho 2.850 2.850 5.700
Er 0.000 0.000 0.000
Se 2.850 2.850 2.850
Se 5.700 5.700 2.880
Se 5.700 2.880 5.700
Se 8.520 5.700 5.700
Se 2.880 5.700 5.700
Se 5.700 8.520 5.700
Se 5.700 5.700 8.520
Se 8.550 8.550 8.550
```

Computed properties:
The value obtained for the total magnetic moment is 0.00 μB/cell. As for the calculated volume: 370 Å³/cell. As for the calculated total energy: -5.808 eV/atom.